Entry 1:
Compound: Sr2Sb2Pb
Source: Alexandria
Functional: PBE-GGA
Structure: optimized geometry

offset from the most stable computed form: 351 meV/atom
formation energy (no corrections): -0.3260 eV per atom
raw total energy: -16.95 eV for the cell shown
DOS(E_F): 0.7162 states/eV per atom

Cell lengths 5.7764, 5.7764, 7.2069 Å; angles 66.37, 66.37, 90.00 degrees
Element x y z (fractional)
Pb1 0.0000 0.0000 0.0000
Sb1 0.3817 0.3817 0.2365
Sb2 0.6183 0.6183 0.7635
Sr1 0.2500 0.7500 0.5000
Sr2 0.7500 0.2500 0.5000

Entry 2:
Compound: UFeNiSn
Source: Alexandria
Functional: PBE-GGA
Structure: optimized geometry

raw total energy: -29.78 eV for the cell shown
energy of formation: -0.2 eV/f.u.
DOS(E_F): 1.5747 states/eV per atom

Cell lengths 4.6022, 4.6022, 4.6022 Å; angles 60.00, 60.00, 60.00 degrees
Each line ends with the local moment (μB).
Element x y z (fractional)
Ni1 0.5000 0.5000 0.5000  0.38
U1 0.7500 0.7500 0.7500  -2.01
Sn1 0.2500 0.2500 0.2500  0.03
Fe1 0.0000 0.0000 0.0000  1.97

Entry 3:
Compound: Tb4YHo6
Source: Alexandria
Functional: PBE-GGA
Structure: optimized geometry

offset from the most stable computed form: 0 meV/atom
raw total energy: -47.56 eV for the cell shown
energy of formation: 4.9 eV/f.u.
DOS(E_F): 1.3164 states/eV per atom

Cell lengths 7.6027, 7.6027, 8.4429 Å; angles 116.76, 116.76, 90.00 degrees
Element x y z (fractional)
Ho1 0.5000 0.0000 0.0000
Ho2 0.5581 0.5581 0.6293
Ho3 0.0000 0.5000 0.0000
Ho4 0.9288 0.4419 0.3707
Ho5 0.4419 0.9288 0.3707
Ho6 0.0712 0.0712 0.6293
Tb1 0.7550 0.0928 0.8477
Tb2 0.2450 0.2450 0.1523
Tb3 0.0928 0.7550 0.8477
Tb4 0.9072 0.9072 0.1523
Y1 0.5000 0.5000 0.0000

Entry 4:
Compound: Tb3SmMg2
Source: Alexandria
Functional: PBE-GGA
Structure: optimized geometry

raw total energy: -22.08 eV for the cell shown
energy of formation: -0.3 eV/f.u.
DOS(E_F): 1.2860 states/eV per atom

Cell lengths 3.7020, 3.7020, 12.8392 Å; angles 90.00, 90.00, 90.00 degrees
Element x y z (fractional)
Tb1 0.0000 0.0000 0.6930
Tb2 0.0000 0.0000 0.0000
Tb3 0.0000 0.0000 0.3070
Mg1 0.5000 0.5000 0.1520
Mg2 0.5000 0.5000 0.8480
Sm1 0.5000 0.5000 0.5000

Entry 5:
Compound: RbTlCr2
Source: Alexandria
Functional: PBE-GGA
Structure: optimized geometry

offset from the most stable computed form: 64 meV/atom
raw total energy: -18.08 eV for the cell shown
energy of formation: 4.5 eV/f.u.
DOS(E_F): 0.7575 states/eV per atom

Cell lengths 5.2391, 5.2391, 5.2391 Å; angles 60.00, 60.00, 60.00 degrees
Each line ends with the local moment (μB).
Element x y z (fractional)
Cr1 0.7500 0.7500 0.7500  3.89
Cr2 0.2500 0.2500 0.2500  3.89
Tl1 0.5000 0.5000 0.5000  -0.16
Rb1 0.0000 0.0000 0.0000  0.04

Entry 6:
Compound: Rb2AgHg3
Source: Alexandria
Functional: PBE-GGA
Structure: optimized geometry

raw total energy: -6.75 eV for the cell shown
energy of formation: -1.1 eV/f.u.
DOS(E_F): 0.4869 states/eV per atom

Cell lengths 5.3491, 6.7294, 6.7564 Å; angles 79.15, 66.68, 66.58 degrees
Element x y z (fractional)
Hg1 0.8177 0.2417 0.1230
Hg2 0.8579 0.5871 0.6972
Hg3 0.1645 0.7621 0.9089
Ag1 0.1661 0.4097 0.2580
Rb1 0.5521 0.1873 0.7085
Rb2 0.4417 0.8120 0.3045

Entry 7:
Compound: LaMnV2
Source: Alexandria
Functional: PBE-GGA
Structure: optimized geometry

offset from the most stable computed form: 304 meV/atom
raw total energy: -58.11 eV for the cell shown
energy of formation: 3.3 eV/f.u.
DOS(E_F): 1.5686 states/eV per atom

Cell lengths 4.6405, 4.6405, 8.9099 Å; angles 74.91, 74.91, 90.00 degrees
Each line ends with the local moment (μB).
Element x y z (fractional)
La1 0.0000 0.0000 0.0000  -0.17
La2 0.7500 0.2500 0.5000  -0.17
Mn1 0.2500 0.7500 0.5000  2.01
Mn2 0.5000 0.5000 0.0000  2.01
V1 0.3750 0.1250 0.2500  -0.95
V2 0.3750 0.6250 0.2500  -0.95
V3 0.3750 0.6250 0.7500  -0.95
V4 0.8750 0.6250 0.7500  -0.95

Entry 8:
Compound: Ac3Np4N12
Source: Alexandria
Functional: PBE-GGA
Structure: optimized geometry

formation energy (no corrections): -0.9873 eV per atom
raw total energy: -182.75 eV for the cell shown
DOS(E_F): 0.4753 states/eV per atom

Cell lengths 7.3327, 7.3327, 7.3327 Å; angles 109.47, 109.47, 109.47 degrees
Each line ends with the local moment (μB).
Element x y z (fractional)
Ac1 0.5000 0.0000 0.5000  0.00
Ac2 0.0000 0.5000 0.5000  0.00
Ac3 0.5000 0.5000 0.0000  0.00
Np1 0.5000 0.5000 0.5000  0.36
Np2 0.5000 0.0000 0.0000  0.36
Np3 0.0000 0.0000 0.5000  0.36
Np4 0.0000 0.5000 0.0000  0.36
N1 0.0334 0.7565 0.2769  -0.03
N2 0.7231 0.9666 0.2435  -0.03
N3 0.2435 0.2769 0.5205  -0.03
N4 0.4795 0.7565 0.7231  -0.03
N5 0.2769 0.5205 0.2435  -0.03
N6 0.5205 0.2435 0.2769  -0.03
N7 0.7231 0.4795 0.7565  -0.03
N8 0.7565 0.7231 0.4795  -0.03
N9 0.9666 0.2435 0.7231  -0.03
N10 0.2435 0.7231 0.9666  -0.03
N11 0.7565 0.2769 0.0334  -0.03
N12 0.2769 0.0334 0.7565  -0.03